## CaB2Os (PBE)

Data for an optimized crystal structure of CaB2Os.

## Properties
**Magnetization**: 0.0 Bohr magnetons per cell
**Density**: 7.346 g/cm3
**Energy relative to the elements**: 2 kJ per mole of atoms
**V**: 56.95 Å³/cell
**Relative energy among the computed polymorphs**: 0.1519 eV per atom

```
4
Lattice="1.8275 1.0551 4.9221 -1.8275 1.0551 4.9221 0.0000 -2.1103 4.9221" Properties=species:S:1:pos:R:3 pbc="T T T"
Ca 0.0000 0.0000 0.0000
B 0.0000 0.0000 2.9370
B 0.0000 0.0000 11.8293
Os 0.0000 0.0000 7.3831
```